## P
{"formula": "Cu2Ag2Au", "functional": "PBE", "state": "optimized geometry", "lattice": [[4.3078, 0.0044, -1.4111], [-0.7517, 5.0841, -2.2790], [0.0092, 0.1695, 7.3094]], "species": ["Cu", "Cu", "Cu", "Cu", "Ag", "Ag", "Ag", "Ag", "Au", "Au"], "fractional_positions": [[0.8122, 0.3182, 0.1245], [0.8123, 0.8063, 0.1245], [0.1877, 0.1937, 0.8755], [0.1878, 0.6818, 0.8755], [0.6259, 0.3759, 0.7518], [0.0023, 0.7523, 0.5047], [0.9977, 0.2477, 0.4953], [0.3741, 0.6241, 0.2482], [0.3653, 0.1153, 0.2305], [0.6347, 0.8847, 0.7695]], "dos_ef_per_ev_fu": 1.56, "density_g_cm3": 11.1, "total_magnetization_mub_per_atom": 0.000, "spacegroup": "Imma"}

## Q
{"formula": "Cu2Ag2Au", "functional": "PBE", "state": "optimized geometry", "lattice": [[-0.9762, 2.4984, 2.1195], [0.6087, -2.0348, 2.6789], [6.6835, 2.6685, 2.6897]], "species": ["Au", "Cu", "Cu", "Ag", "Ag"], "fractional_positions": [[0.0000, 0.0000, 0.0000], [0.7500, 0.2500, 0.5000], [0.2500, 0.7500, 0.5000], [0.3945, 0.3945, 0.2110], [0.6055, 0.6055, 0.7890]], "dos_ef_per_ev_fu": 1.76, "density_g_cm3": 10.5, "total_magnetization_mub_per_atom": 0.000, "spacegroup": "I4/mmm"}

## R
{"formula": "Cu2Ag2Au", "functional": "PBE", "state": "optimized geometry", "lattice": [[7.5575, 0.0000, 0.0000], [0.0000, 7.5575, 0.0000], [0.0000, 0.0000, 2.8307]], "species": ["Au", "Au", "Cu", "Cu", "Cu", "Cu", "Ag", "Ag", "Ag", "Ag"], "fractional_positions": [[0.0000, 0.0000, 0.0000], [0.5000, 0.5000, 0.0000], [0.1634, 0.6634, 0.5000], [0.6634, 0.8366, 0.5000], [0.8366, 0.3366, 0.5000], [0.3366, 0.1634, 0.5000], [0.3663, 0.8663, 0.0000], [0.8663, 0.6337, 0.0000], [0.6337, 0.1337, 0.0000], [0.1337, 0.3663, 0.0000]], "dos_ef_per_ev_fu": 1.06, "density_g_cm3": 11.1, "total_magnetization_mub_per_atom": 0.000, "spacegroup": "P4/mbm"}

Most stable to least stable, the ends of the list are P and Q.

## P
{"formula": "Cu2Ag2Au", "functional": "PBE", "state": "optimized geometry", "lattice": [[3.7883, 0.0000, 0.0000], [0.0000, 3.7883, 0.0000], [1.8941, 1.8941, 5.9849]], "species": ["Au", "Cu", "Cu", "Ag", "Ag"], "fractional_positions": [[0.0000, 0.0000, 0.0000], [0.4043, 0.4043, 0.1915], [0.5957, 0.5957, 0.8085], [0.7500, 0.2500, 0.5000], [0.2500, 0.7500, 0.5000]], "dos_ef_per_ev_fu": 1.33, "density_g_cm3": 10.4, "total_magnetization_mub_per_atom": 0.000, "spacegroup": "I4/mmm"}

## Q
{"formula": "Cu2Ag2Au", "functional": "PBE", "state": "optimized geometry", "lattice": [[-5.7497, -2.4845, 2.3926], [-2.0506, -1.2775, -6.2546], [1.4973, -3.2906, 0.1812]], "species": ["Au", "Au", "Cu", "Cu", "Cu", "Cu", "Ag", "Ag", "Ag", "Ag"], "fractional_positions": [[0.0000, 0.0000, 0.0000], [0.5000, 0.5000, 0.0000], [0.3709, 0.8709, 0.0000], [0.8709, 0.6291, 0.0000], [0.6291, 0.1291, 0.0000], [0.1291, 0.3709, 0.0000], [0.1669, 0.6669, 0.5000], [0.6669, 0.8331, 0.5000], [0.8331, 0.3331, 0.5000], [0.3331, 0.1669, 0.5000]], "dos_ef_per_ev_fu": 1.29, "density_g_cm3": 11.0, "total_magnetization_mub_per_atom": 0.000, "spacegroup": "P4/mbm"}

Most stable to least stable, the ends of the list are Q and P.

## P
{"formula": "CuAgAu", "functional": "PBE", "state": "optimized geometry", "lattice": [[4.2716, 0.0000, 0.0000], [2.1358, 3.6993, 0.0000], [2.1358, 1.2331, 3.4878]], "species": ["Ag", "Au", "Cu"], "fractional_positions": [[0.0000, 0.0000, 0.0000], [0.5000, 0.5000, 0.5000], [0.7500, 0.7500, 0.7500]], "dos_ef_per_ev_fu": 0.75, "density_g_cm3": 11.1, "total_magnetization_mub_per_atom": 0.000, "spacegroup": "F-43m"}

## Q
{"formula": "CuAgAu", "functional": "PBE", "state": "optimized geometry", "lattice": [[2.8295, 0.0006, 0.2482], [-0.0020, 4.2107, 0.0103], [0.6511, -0.0195, 8.1596]], "species": ["Cu", "Cu", "Ag", "Ag", "Au", "Au"], "fractional_positions": [[0.1486, 0.2293, 0.7667], [0.0869, 0.7292, 0.9310], [0.9077, 0.7290, 0.2621], [0.3210, 0.2290, 0.4357], [0.7194, 0.7291, 0.6343], [0.5138, 0.2291, 0.0635]], "dos_ef_per_ev_fu": 0.52, "density_g_cm3": 12.7, "total_magnetization_mub_per_atom": 0.000, "spacegroup": "Pm"}

## R
{"formula": "CuAgAu", "functional": "PBE", "state": "optimized geometry", "lattice": [[4.4656, 0.0000, 0.0000], [-2.2328, 3.8673, 0.0000], [0.0000, 0.0000, 2.8219]], "species": ["Au", "Cu", "Ag"], "fractional_positions": [[0.3333, 0.6667, 0.4012], [0.6667, 0.3333, 0.6314], [0.0000, 0.0000, 0.9674]], "dos_ef_per_ev_fu": 0.83, "density_g_cm3": 12.6, "total_magnetization_mub_per_atom": 0.000, "spacegroup": "P3m1"}

Most stable to least stable, the ends of the list are Q and P.